1.
A relaxed structure of CoAg2Sb. Source: the Alexandria database, functional PBE.

The structure in extended XYZ format:
```
4
Lattice="4.5160 -1.6458 0.0000 4.5160 1.6458 0.0000 -3.3370 0.0000 4.9993" Properties=species:S:1:pos:R:3 pbc="T T T"
Co 0.0000 0.0000 0.0000
Ag 0.6846 0.0000 2.8570
Ag 3.2481 0.0000 1.7715
Sb 3.0750 0.0000 4.7294
```

Computed properties:
Space-group type   Cm (8)
Crystal system   monoclinic
Final energy   -15.90 eV per formula unit
Formation energy without anion corrections   0.257 eV per atom
ρ   8.858 g/cm³

***

2.
A relaxed structure of TbSm3Te2. Source: the Alexandria database, functional PBE.

The structure in extended XYZ format:
```
12
Lattice="9.3536 -2.0500 0.0000 9.3536 2.0500 0.0000 -4.5758 0.0000 9.4655" Properties=species:S:1:pos:R:3 pbc="T T T"
Tb 1.5328 0.0000 0.9499
Tb 12.5986 0.0000 8.5156
Sm -2.1287 0.0000 6.2465
Sm 5.3808 0.0000 1.0464
Sm 4.1532 0.0000 4.9519
Sm 9.9782 0.0000 4.5135
Sm 8.7506 0.0000 8.4191
Sm 16.2601 0.0000 3.2189
Te 1.4216 0.0000 6.9432
Te 8.5677 0.0000 1.5190
Te 5.5637 0.0000 7.9465
Te 12.7098 0.0000 2.5223
```

Computed properties:
Space-group type   C2/m (12)
Crystal system   monoclinic
Final energy   -29.90 eV per formula unit
Formation energy without anion corrections   -0.805 eV per atom
ρ   7.916 g/cm³

***

3.
A relaxed structure of Dy3HoEr2P6. Source: the Alexandria database, functional PBE.

The structure in extended XYZ format:
```
12
Lattice="3.4564 -5.9855 0.0000 3.4564 5.9855 0.0000 -2.3014 0.0000 6.5173" Properties=species:S:1:pos:R:3 pbc="T T T"
Dy 0.0000 0.0000 0.0000
Dy 3.4564 1.9939 0.0000
Dy 3.4564 -1.9939 0.0000
Ho 2.3057 0.0000 3.2587
Er 2.3057 3.9903 3.2587
Er 2.3057 -3.9903 3.2587
P 1.1508 1.9988 1.6422
P -0.0021 0.0000 4.8750
P 1.1508 -1.9988 1.6422
P 3.4607 1.9988 4.8751
P 4.6135 0.0000 1.6424
P 3.4607 -1.9988 4.8751
```

Computed properties:
Space-group type   C2/m (12)
Formation energy   -1.614 eV per atom
Crystal system   monoclinic
Final energy   -79.34 eV per formula unit
ρ   7.222 g/cm³

***

4.
A relaxed structure of RbB2SbO6. Source: the Alexandria database, functional PBE.

The structure in extended XYZ format:
```
20
Lattice="7.4482 0.0000 0.0000 0.0000 3.8962 0.0000 0.0000 0.0000 9.6090" Properties=species:S:1:pos:R:3 pbc="T T T"
Rb 0.0000 0.2171 0.0000
Rb 3.7241 3.6791 4.8045
B 1.2627 2.0029 6.5675
B 2.4614 1.8933 1.7630
B 4.9868 1.8933 1.7630
B 6.1855 2.0029 6.5675
Sb 0.0000 1.5259 3.8674
Sb 3.7241 2.3703 8.6719
O 0.0000 2.0789 7.1820
O 0.0000 3.4759 3.8871
O 1.3758 1.4435 2.4421
O 1.4473 1.5604 5.2772
O 2.2768 2.3357 0.4727
O 2.3483 2.4527 7.2467
O 3.7241 0.4202 8.6916
O 3.7241 1.8172 2.3774
O 5.0999 2.4527 7.2467
O 5.1714 2.3357 0.4727
O 6.0009 1.5604 5.2772
O 6.0724 1.4435 2.4421
```

Computed properties:
Space-group type   Pmn2_1 (31)
Crystal system   orthorhombic
Final energy   -68.33 eV per formula unit
Formation energy without anion corrections   -2.014 eV per atom
ρ   3.869 g/cm³